Record 1
Entry from Alexandria: BaCS2Cl after structural relaxation (PBE). Values from VASP.

Structure (Quantum ESPRESSO input):
```
&SYSTEM
  ibrav = 0, nat = 5, ntyp = 4
/
ATOMIC_SPECIES
S 32.06 S.upf
Ba 137.33 Ba.upf
C 12.01 C.upf
Cl 35.45 Cl.upf
ATOMIC_POSITIONS angstrom
S -2.704 -1.081 1.278
Ba 0.000 0.000 0.000
S -1.265 -0.269 -2.906
C -4.996 1.437 -1.439
Cl -1.026 2.788 0.188
CELL_PARAMETERS angstrom
-2.531 -0.539 -5.811
-5.409 -2.163 2.556
-2.052 5.576 0.377
```

Properties
As for the space group: P4/mmm, No. 123. As for the uncorrected formation energy: 1.381 eV per atom. For the excess energy over the best structure of this formula in the dataset, the calculation gives 1468 meV/atom.



Record 2
Entry from Alexandria: Ho3Hg3Rh2 after structural relaxation (PBE). Values from VASP.

Structure (Quantum ESPRESSO input):
```
&SYSTEM
  ibrav = 0, nat = 8, ntyp = 3
/
ATOMIC_SPECIES
Hg 200.59 Hg.upf
Ho 164.93 Ho.upf
Rh 102.91 Rh.upf
ATOMIC_POSITIONS angstrom
Hg 0.000 0.000 1.780
Ho 1.785 0.000 4.402
Ho 1.785 2.773 1.601
Hg 0.000 5.044 2.912
Ho 1.785 3.812 -2.201
Hg 0.000 1.541 -0.890
Rh 0.000 4.390 0.000
Rh 0.000 2.195 3.802
CELL_PARAMETERS angstrom
3.569 0.000 0.000
0.000 6.585 -3.802
0.000 0.000 7.604
```

Properties
The value obtained for the formation energy is -0.65 eV/atom. As for the space group: P-62m, No. 189.